Record 1
## TaCd4Pb (PBE-GGA)

Data for a geometry-optimized TaCd4Pb structure.

Calculated total energy = -0.0987 hartree per atom
V = 22.8 A^3/atom
Density of states at the Fermi level = 3.25 states/eV/cell

Geometry as POSCAR:
```
TaCd4Pb
1.0
0.000 4.090 4.090
4.090 0.000 4.090
4.090 4.090 0.000
Cd Ta Pb
4 1 1
Cartesian
5.120 3.061 5.120
3.061 5.120 5.120
3.061 3.061 3.061
5.120 5.120 3.061
0.000 0.000 0.000
6.136 6.136 6.136
```

Record 2
## CaSnPt (PBE-GGA)

Data for a geometry-optimized CaSnPt structure.

Calculated total energy = -0.1778 hartree per atom
V = 23.6 A^3/atom
Density of states at the Fermi level = 1.12 states/eV/cell

Geometry as POSCAR:
```
CaSnPt
1.0
3.822 0.000 0.000
0.000 4.629 0.000
0.000 -2.314 4.009
Pt Ca Sn
1 1 1
Cartesian
0.637 0.000 0.000
2.548 2.314 1.336
0.637 0.000 2.672
```

Record 3
## CaHfMn2P (PBE-GGA)

Data for a geometry-optimized CaHfMn2P structure.

Calculated total energy = -0.1930 hartree per atom
V = 21.2 A^3/atom
Density of states at the Fermi level = 4.18 states/eV/cell

Geometry as POSCAR:
```
CaHfMn2P
1.0
-3.195 0.472 -2.918
2.013 -4.349 -2.907
-2.509 -2.705 2.310
P Mn Hf Ca
1 2 1 1
Cartesian
-1.846 -3.291 -1.758
-1.598 0.236 -1.459
-1.254 -1.353 1.155
1.006 -2.174 -1.454
0.000 0.000 0.000
```

Record 4
## CeTcC2 (PBE-GGA)

Data for a geometry-optimized CeTcC2 structure.

V = 14.2 A^3/atom
Density of states at the Fermi level = 4.55 states/eV/cell
Excess energy over the best structure of this formula in the dataset = 0.00 kJ per mole of atoms

Geometry as POSCAR:
```
CeTcC2
1.0
3.666 0.000 0.000
0.000 4.002 -0.056
0.000 -1.001 3.875
C Ce Tc
2 1 1
Cartesian
1.833 2.951 1.669
1.833 2.077 0.557
0.000 3.962 -0.025
1.833 0.915 2.370
```

Record 5
## DyInGaAu (PBE-GGA)

Data for a geometry-optimized DyInGaAu structure.

Calculated total energy = -0.1449 hartree per atom
V = 21.6 A^3/atom
Density of states at the Fermi level = 0.79 states/eV/cell

Geometry as POSCAR:
```
DyInGaAu
1.0
4.958 0.000 0.000
2.479 4.294 0.000
2.479 1.431 4.049
Au Dy In Ga
1 1 1 1
Cartesian
0.000 0.000 0.000
2.479 1.431 1.012
7.438 4.294 3.036
4.958 2.863 2.024
```

Record 6
## Pu2PaRh6 (PBE-GGA)

Data for a geometry-optimized Pu2PaRh6 structure.

Calculated total energy = -0.3547 hartree per atom
V = 18.7 A^3/atom
Density of states at the Fermi level = 23.27 states/eV/cell

Geometry as POSCAR:
```
Pu2PaRh6
1.0
-1.923 2.541 -4.540
-4.566 -3.769 -0.175
-5.024 1.299 2.855
Rh Pu Pa
6 2 1
Cartesian
-3.051 1.270 -2.586
-6.394 0.509 0.804
-8.462 -1.199 0.725
-5.327 1.859 -1.292
-6.186 -1.787 -0.569
-5.119 -0.437 -2.665
-7.958 0.420 -1.907
-3.555 -0.349 0.046
0.000 0.000 0.000
```

Record 7
## MgIn2P2Pt7 (PBE-GGA)

Data for a geometry-optimized MgIn2P2Pt7 structure.

Calculated total energy = -0.2040 hartree per atom
V = 18.8 A^3/atom
Density of states at the Fermi level = 5.60 states/eV/cell

Geometry as POSCAR:
```
MgIn2P2Pt7
1.0
-0.576 2.809 -2.629
-2.757 1.554 2.263
8.689 10.502 6.569
Pt In P Mg
7 2 2 1
Cartesian
-1.590 4.150 1.902
-1.666 2.181 -0.183
3.057 9.476 3.795
6.946 10.714 4.301
-0.500 4.778 -0.542
2.299 5.388 2.408
5.857 10.087 6.745
1.058 7.917 2.504
4.298 6.948 3.699
0.702 4.118 1.370
4.655 10.747 4.834
0.000 0.000 0.000
```

Record 8
## HfAuSCl2 (PBE-GGA)

Data for a geometry-optimized HfAuSCl2 structure.

V = 24.3 A^3/atom
Density of states at the Fermi level = 2.71 states/eV/cell
Excess energy over the best structure of this formula in the dataset = 0.00 kJ per mole of atoms
Energy relative to the elements, uncorrected = -62.0 kJ/mol of atoms

Geometry as POSCAR:
```
HfAuSCl2
1.0
4.963 0.000 0.000
0.000 4.963 0.000
0.000 0.000 4.939
Au Cl Hf S
1 2 1 1
Cartesian
2.481 2.481 2.469
2.481 0.000 0.000
0.000 2.481 0.000
0.000 0.000 0.000
0.000 0.000 2.469
```